! PBEsol ZrInBiW2, optimized geometry; values from VASP
&SYSTEM
  ibrav = 0, nat = 5, ntyp = 4
/
ATOMIC_SPECIES
Zr 91.22 Zr.upf
Bi 208.98 Bi.upf
W 183.84 W.upf
In 114.82 In.upf
ATOMIC_POSITIONS crystal
Zr 0.000 0.000 0.500
Bi 0.000 0.000 0.000
W 0.000 0.500 0.000
W 0.500 0.000 0.000
In 0.500 0.500 0.500
CELL_PARAMETERS angstrom
4.987 0.000 0.000
0.000 4.987 0.000
0.000 0.000 5.252
! Raw total energy ... -6.511 eV per atom
! Total magnetic moment ... 0.001 μB/f.u.
! N(E_F) ... 7.03 states/eV/cell